[1]
Material: P2AuCO
Method: DFT, PBEsol
State: relaxed

Calculated values
M_tot: 0.000 μB per formula unit
Raw total energy: -5.21 eV/atom
Uncorrected formation energy: 870 meV per atom

Lattice parameters (Å, degrees): 4.258 4.258 3.191 90.00 90.00 90.00
Space group P4/mmm (No. 123)
One atom of each set of equivalent atoms:
P  0.000  0.500  0.000
Au  0.000  0.000  0.500
C  0.500  0.500  0.000
O  0.500  0.500  0.500



[2]
Material: P3AuC
Method: DFT, PBEsol
State: relaxed

Calculated values
M_tot: 0.000 μB per formula unit
Raw total energy: -5.15 eV/atom
ΔE_f: 1037 meV/atom

Lattice parameters (Å, degrees): 4.037 4.037 4.037 90.00 90.00 90.00
Space group Pm-3m (No. 221)
One atom of each set of equivalent atoms:
P  0.000  0.000  0.500
Au  0.500  0.500  0.500
C  0.000  0.000  0.000



[3]
Material: P2AuCS
Method: DFT, PBEsol
State: relaxed

Calculated values
M_tot: 0.000 μB per formula unit
Raw total energy: -4.79 eV/atom
Uncorrected formation energy: 1114 meV per atom

Lattice parameters (Å, degrees): 4.073 4.073 4.076 90.00 90.00 90.00
Space group P4/mmm (No. 123)
One atom of each set of equivalent atoms:
P  0.000  0.500  0.000
Au  0.000  0.000  0.500
C  0.500  0.500  0.000
S  0.500  0.500  0.500



[4]
Material: PbAuC2
Method: DFT, PBEsol
State: relaxed

Calculated values
M_tot: 0.000 μB per formula unit
Raw total energy: -5.08 eV/atom
ΔE_f: 1726 meV/atom

Lattice parameters (Å, degrees): 4.981 4.981 10.680 90.00 90.00 90.00
Space group I-42d (No. 122)
One atom of each set of equivalent atoms:
Pb  0.000  0.000  0.000
Au  0.000  0.000  0.500
C  0.204  0.250  0.625



[5]
Material: TiPbAu2C
Method: DFT, PBEsol
State: relaxed

Calculated values
M_tot: 0.000 μB per formula unit
Raw total energy: -5.74 eV/atom
ΔE_f: 221 meV/atom

Lattice parameters (Å, degrees): 4.353 4.353 4.328 90.00 90.00 90.00
Space group P4/mmm (No. 123)
One atom of each set of equivalent atoms:
Ti  0.000  0.000  0.000
Pb  0.500  0.500  0.000
Au  0.000  0.500  0.500
C  0.000  0.000  0.500



[6]
Material: Zn2PbAuC
Method: DFT, PBEsol
State: relaxed

Calculated values
M_tot: 2.592 μB per formula unit
Raw total energy: -2.10 eV/atom
ΔE_f: 2046 meV/atom

Lattice parameters (Å, degrees): 5.231 5.231 5.243 90.00 90.00 90.00
Space group P4/mmm (No. 123)
One atom of each set of equivalent atoms:
Zn  0.000  0.500  0.000
Pb  0.000  0.000  0.000
Au  0.000  0.000  0.500
C  0.500  0.500  0.500



[7]
Material: PdAu3C
Method: DFT, PBEsol
State: relaxed

Calculated values
M_tot: 0.000 μB per formula unit
Raw total energy: -4.89 eV/atom
ΔE_f: 586 meV/atom

Lattice parameters (Å, degrees): 4.222 4.222 4.222 90.00 90.00 90.00
Space group Pm-3m (No. 221)
One atom of each set of equivalent atoms:
Pd  0.000  0.000  0.000
Au  0.000  0.500  0.500
C  0.500  0.500  0.500



[8]
Material: PdAuC2
Method: DFT, PBEsol
State: relaxed

Calculated values
M_tot: 0.000 μB per formula unit
Raw total energy: -5.79 eV/atom
Offset from the most stable computed form: 0.000 eV per formula unit
ΔE_f: 1498 meV/atom

Lattice parameters (Å, degrees): 5.019 5.019 8.384 90.00 90.00 90.00
Space group I-42d (No. 122)
One atom of each set of equivalent atoms:
Pd  0.000  0.000  0.000
Au  0.000  0.000  0.500
C  0.234  0.250  0.125



- What is the raw total energy in the seventh record?
  -4.89 eV/atom



- Which value of M_tot does entry 5 give?
  0.000 μB per formula unit



What did the seventh record say?
Material: PdAu3C
Method: DFT, PBEsol
State: relaxed

Calculated values
M_tot: 0.000 μB per formula unit
Raw total energy: -4.89 eV/atom
ΔE_f: 586 meV/atom

Lattice parameters (Å, degrees): 4.222 4.222 4.222 90.00 90.00 90.00
Space group Pm-3m (No. 221)
One atom of each set of equivalent atoms:
Pd  0.000  0.000  0.000
Au  0.000  0.500  0.500
C  0.500  0.500  0.500



- What is the formula in the eighth record?
  PdAuC2